[1]
## K3Pr2UTe6 (PBE)

Data for a geometry-optimized K3Pr2UTe6 structure.

a b c (Å): 7.991 13.840 8.693
angles (deg): 90.00 107.85 90.00
Space group C2/m (No. 12)
Symmetry-distinct sites (fractional):
K 0.000 0.000 0.000 x2
K 0.000 0.331 0.000 x4
Pr 0.000 0.166 0.500 x4
U 0.000 0.500 0.500 x2
Te 0.235 0.336 0.715 x8
Te 0.244 0.000 0.716 x4



[2]
## K3PrU3Te8 (PBE)

Data for a geometry-optimized K3PrU3Te8 structure.

a b c (Å): 8.9850 8.9850 25.0893
angles (deg): 90.00 90.00 120.00
Space group R-3m (No. 166, hexagonal axes)
Symmetry-distinct sites (fractional):
K 0.0000 0.5000 0.0000 x9
Pr 0.0000 0.0000 0.5000 x3
U 0.0000 0.5000 0.5000 x9
Te 0.0000 0.0000 0.2368 x6
Te 0.0110 0.5055 0.7627 x18



[3]
## K4PrY3Te8 (PBE)

Data for a geometry-optimized K4PrY3Te8 structure.

a b c (Å): 9.0757 9.0757 24.7500
angles (deg): 90.00 90.00 120.00
Space group R-3m (No. 166, hexagonal axes)
Symmetry-distinct sites (fractional):
K 0.0000 0.0000 0.0000 x3
K 0.0000 0.5000 0.0000 x9
Pr 0.0000 0.0000 0.5000 x3
Y 0.0000 0.5000 0.5000 x9
Te 0.0000 0.0000 0.2359 x6
Te 0.0078 0.5039 0.7628 x18



| no. | formation energy without anion corrections (eV per atom) |
| --- | --- |
| 1 | -1.221 |
| 2 | -0.958 |
| 3 | -1.412 |